# CsCrBO4

A relaxed CsCrBO4 crystal (PBE with a Hubbard U, the Alexandria database).

Its crystal system is monoclinic. The value obtained for the total DFT energy (no corrections) is -95.5 eV/cell. Its symmetry is P2_1/m, No. 11.

abc: 4.754 5.231 8.848
angles: 90.00 118.86 90.00
Sites, in units of the cell vectors:
Cs: 0.649 0.750 0.898
Cs: 0.351 0.250 0.102
O: 0.021 0.471 0.645
O: 0.657 0.250 0.741
O: 0.343 0.750 0.259
O: 0.979 0.971 0.355
O: 0.479 0.750 0.547
O: 0.021 0.029 0.645
O: 0.979 0.529 0.355
O: 0.521 0.250 0.453
B: 0.198 0.750 0.371
B: 0.802 0.250 0.629
Cr: 0.229 0.250 0.534
Cr: 0.771 0.750 0.466